# 1
Crystalline MgSeO2F at its relaxed geometry. Source: Alexandria via LeMat-Bulk, functional PBE.

```
MgSeO2F
1.0
3.927 0.000 0.000
0.000 3.927 0.000
0.000 0.000 4.530
Mg O Se F
1 2 1 1
direct
0.500 0.500 0.500
0.000 0.500 0.000
0.500 0.000 0.000
0.000 0.000 0.000
0.000 0.000 0.500
```

Summary:
Its crystal system is tetragonal. Its space group is P4/mmm. As for the magnetic moment: 0.00 μB/cell. As for the raw formation energy: -791 meV per atom.

=====

# 2
Crystalline MgSeO2F at its relaxed geometry. Source: Alexandria via LeMat-Bulk, functional PBE.

```
MgSeO2F
1.0
-3.979 -0.379 -0.459
0.589 -2.047 -3.413
0.080 -3.115 1.882
Mg O Se F
1 2 1 1
direct
0.000 0.000 0.000
0.000 0.500 0.000
0.500 0.000 0.000
0.500 0.500 0.500
0.000 0.000 0.500
```

Summary:
Its crystal system is tetragonal. Its space group is P4/mmm. As for the magnetic moment: 0.00 μB/cell. As for the raw formation energy: -951 meV per atom.

=====

# 3
Crystalline MgSe2O6F2 at its relaxed geometry. Source: Alexandria via LeMat-Bulk, functional PBE.

```
MgSe2O6F2
1.0
5.330 0.000 0.000
-2.665 4.616 0.000
0.000 0.000 7.216
Mg Se O F
1 2 6 2
direct
0.000 0.000 0.000
0.333 0.667 0.781
0.667 0.333 0.219
0.285 0.345 0.830
0.060 0.715 0.830
0.655 0.940 0.830
0.715 0.655 0.170
0.940 0.285 0.170
0.345 0.060 0.170
0.333 0.667 0.539
0.667 0.333 0.461
```

Summary:
Its crystal system is trigonal. Its space group is P-3. As for the magnetic moment: 0.00 μB/cell. As for the raw formation energy: -1247 meV per atom.